Below is an optimized crystal structure of Li2La2P, with properties calculated at the PBE-GGA level.

Unit cell a=6.7008 b=6.7008 c=4.8697 alpha=90.00 beta=90.00 gamma=90.00
Positions (direct):
Li (0.1450, 0.3550, 0.0000)
Li (0.3550, 0.8550, 0.0000)
Li (0.6450, 0.1450, 0.0000)
Li (0.8550, 0.6450, 0.0000)
La (0.1740, 0.6740, 0.5000)
La (0.3260, 0.1740, 0.5000)
La (0.6740, 0.8260, 0.5000)
La (0.8260, 0.3260, 0.5000)
P (0.0000, 0.0000, 0.0000)
P (0.5000, 0.5000, 0.0000)

Values from the calculation:
As for the raw total energy: -4.174 eV per atom. As for the crystal system: tetragonal. The calculation puts the formation energy at -0.355 eV per atom.